[1]
Computed, not measured: a relaxed structure of Be3Ni2Ir2 at the GGA-PBE level of DFT.

E_form ... -226.4 kJ/mol of formula units
Fermi-level density of states ... 4.29 states/eV/f.u.
Symmetry ... P-1, No. 2
E_tot ... -6.12 eV/atom

Lattice parameters (Å, degrees): 4.301 4.300 5.682 84.56 111.09 130.55
Fractional positions:
Be: 0.000 0.000 0.000
Be: 0.539 0.652 0.189
Be: 0.461 0.348 0.811
Ir: 0.860 0.358 0.214
Ir: 0.140 0.642 0.786
Ni: 0.306 0.124 0.426
Ni: 0.694 0.876 0.574

***

[2]
Computed, not measured: a relaxed structure of BeNi3Ir at the GGA-PBE level of DFT.

E_form ... 734.3 kJ/mol of formula units
Fermi-level density of states ... 6.23 states/eV/f.u.
Symmetry ... Pm-3m, No. 221
E_tot ... -4.46 eV/atom

Lattice parameters (Å, degrees): 4.511 4.511 4.511 90.00 90.00 90.00
Each line ends with the local moment (μB).
Fractional positions:
Ni: 0.500 0.000 0.000  0.30
Ni: 0.000 0.500 0.000  0.62
Ni: 0.000 0.000 0.500  1.00
Be: 0.500 0.500 0.500  0.00
Ir: 0.000 0.000 0.000  0.68

***

[3]
Computed, not measured: a relaxed structure of BeNi3Ir at the GGA-PBE level of DFT.

E_form ... 199.0 kJ/mol of formula units
Fermi-level density of states ... 7.36 states/eV/f.u.
Symmetry ... Pm-3m, No. 221
E_tot ... -5.57 eV/atom

Lattice parameters (Å, degrees): 3.854 3.854 3.854 90.00 90.00 90.00
Fractional positions:
Ir: 0.500 0.500 0.500
Ni: 0.500 0.000 0.000
Ni: 0.000 0.500 0.000
Ni: 0.000 0.000 0.500
Be: 0.000 0.000 0.000

***

[4]
Computed, not measured: a relaxed structure of Be6NiIr5 at the GGA-PBE level of DFT.

E_form ... -639.6 kJ/mol of formula units
Fermi-level density of states ... 8.34 states/eV/f.u.
Symmetry ... Cmmm, No. 65
E_tot ... -6.59 eV/atom

Lattice parameters (Å, degrees): 3.918 5.586 6.211 90.00 108.39 90.00
Fractional positions:
Ni: 0.000 0.000 0.000
Be: 0.167 0.753 0.334
Be: 0.833 0.247 0.666
Be: 0.833 0.753 0.666
Be: 0.500 0.248 0.000
Be: 0.167 0.247 0.334
Be: 0.500 0.752 0.000
Ir: 0.335 0.500 0.669
Ir: 0.662 0.000 0.324
Ir: 0.338 0.000 0.676
Ir: 0.000 0.500 0.000
Ir: 0.665 0.500 0.331

***

[5]
Computed, not measured: a relaxed structure of Be5Ni4Ir at the GGA-PBE level of DFT.

E_form ... -464.8 kJ/mol of formula units
Fermi-level density of states ... 4.81 states/eV/f.u.
Symmetry ... P4/mmm, No. 123
E_tot ... -5.54 eV/atom

Lattice parameters (Å, degrees): 2.688 2.688 13.068 90.00 90.00 90.00
Fractional positions:
Be: 0.500 0.500 0.108
Be: 0.500 0.500 0.695
Be: 0.500 0.500 0.500
Be: 0.500 0.500 0.892
Be: 0.500 0.500 0.305
Ni: 0.000 0.000 0.209
Ni: 0.000 0.000 0.403
Ni: 0.000 0.000 0.791
Ni: 0.000 0.000 0.597
Ir: 0.000 0.000 0.000

***

[6]
Computed, not measured: a relaxed structure of BeNi2Ir at the GGA-PBE level of DFT.

E_form ... -45.8 kJ/mol of formula units
Fermi-level density of states ... 4.85 states/eV/f.u.
Symmetry ... P2/m, No. 10
E_tot ... -6.16 eV/atom

Lattice parameters (Å, degrees): 3.744 2.586 4.883 72.10 90.00 90.00
Each line ends with the local moment (μB).
Fractional positions:
Ni: 0.000 0.412 0.483  0.28
Ni: 0.000 0.088 0.017  0.28
Ir: 0.500 0.750 0.750  0.21
Be: 0.500 0.250 0.250  -0.01